This record from Alexandria describes an optimized crystal structure of InSBr2. The functional is PBE.

The total energy is -11.90 eV per cell. The value obtained for the uncorrected formation energy is -0.422 eV per atom. The calculation puts the magnetic moment at 0.00 μB per cell. As for the symmetry: P1 (1). The calculation puts the energy above the most stable polymorph in this dataset at 182 meV/atom. Its crystal system is triclinic.

The structure in extended XYZ format:
```
4
Lattice="4.018 0.000 0.000 1.853 5.493 0.000 1.129 0.947 7.387" Properties=species:S:1:pos:R:3 pbc="T T T"
In 0.000 0.000 0.000
S 3.157 1.651 6.084
Br 4.038 4.283 6.168
Br 5.714 5.303 2.454
```